No. 1
Compound: CoTcRu2Au
Source: Alexandria
Functional: meta-GGA SCAN
Structure: single point on PBEsol structure

Values from the calculation:
V (Å³/cell): 107
Magnetization (μB per cell): 9.28
Formation energy from the elements (eV/atom): 2.3952

Unit cell a=4.7356 b=4.7356 c=4.7719 alpha=90.00 beta=90.00 gamma=90.00
Space group P4/mmm (No. 123)
One atom of each set of equivalent atoms:
Co1 0.0000 0.0000 0.0000 (multiplicity 1)
Tc1 0.5000 0.5000 0.0000 (multiplicity 1)
Ru1 0.0000 0.5000 0.5000 (multiplicity 2)
Au1 0.5000 0.5000 0.5000 (multiplicity 1)

=====

No. 2
Compound: CoSb2Au
Source: Alexandria
Functional: meta-GGA SCAN
Structure: single point on PBEsol structure

Values from the calculation:
V (Å³/cell): 75
Magnetization (μB per cell): 0.00
Uncorrected formation energy (eV/atom): 0.33

Unit cell a=3.1016 b=3.1016 c=7.7624 alpha=90.00 beta=90.00 gamma=90.00
Space group P4/mmm (No. 123)
One atom of each set of equivalent atoms:
Co1 0.0000 0.0000 0.0000 (multiplicity 1)
Sb1 0.5000 0.5000 0.2083 (multiplicity 2)
Au1 0.0000 0.0000 0.5000 (multiplicity 1)

=====

No. 3
Compound: Co2SbAu
Source: Alexandria
Functional: meta-GGA SCAN
Structure: single point on PBEsol structure

Values from the calculation:
V (Å³/cell): 62
Magnetization (μB per cell): 3.46
Uncorrected formation energy (eV/atom): 0.24

Unit cell a=2.9202 b=3.2459 c=6.5431 alpha=90.00 beta=90.00 gamma=90.00
Space group Pmm2 (No. 25)
One atom of each set of equivalent atoms:
Co1 0.0000 0.0000 0.0000 (multiplicity 1)
Co2 0.5000 0.5000 0.1642 (multiplicity 1)
Sb1 0.0000 0.0000 0.4090 (multiplicity 1)
Au1 0.5000 0.5000 0.7627 (multiplicity 1)

=====

No. 4
Compound: Co2SbAu
Source: Alexandria
Functional: meta-GGA SCAN
Structure: single point on PBEsol structure

Values from the calculation:
V (Å³/cell): 270
Magnetization (μB per cell): 15.51
Uncorrected formation energy (eV/atom): 0.44

Unit cell a=3.8871 b=3.8871 c=17.8670 alpha=90.00 beta=90.00 gamma=90.00
Space group I-42d (No. 122)
One atom of each set of equivalent atoms:
Co1 0.1811 0.2500 0.1250 (multiplicity 8)
Sb1 0.0000 0.0000 0.5000 (multiplicity 4)
Au1 0.0000 0.0000 0.0000 (multiplicity 4)

=====

No. 5
Compound: CoSbAu3
Source: Alexandria
Functional: meta-GGA SCAN
Structure: single point on PBEsol structure

Values from the calculation:
V (Å³/cell): 103
Magnetization (μB per cell): 2.22
Uncorrected formation energy (eV/atom): 0.65

Unit cell a=4.6874 b=4.6874 c=4.6874 alpha=90.00 beta=90.00 gamma=90.00
Space group Pm-3m (No. 221)
One atom of each set of equivalent atoms:
Co1 0.0000 0.0000 0.0000 (multiplicity 1)
Sb1 0.5000 0.5000 0.5000 (multiplicity 1)
Au1 0.0000 0.0000 0.5000 (multiplicity 3)

=====

No. 6
Compound: ScCoAu
Source: Alexandria
Functional: meta-GGA SCAN
Structure: single point on PBEsol structure

Values from the calculation:
V (Å³/cell): 208
Magnetization (μB per cell): 3.55
Formation energy from the elements (eV/atom): -0.2735

Unit cell a=5.9233 b=5.9233 c=5.9233 alpha=90.00 beta=90.00 gamma=90.00
Space group F-43m (No. 216)
One atom of each set of equivalent atoms:
Sc1 0.0000 0.0000 0.0000 (multiplicity 4)
Co1 0.2500 0.2500 0.7500 (multiplicity 4)
Au1 0.0000 0.0000 0.5000 (multiplicity 4)